A plane-wave DFT calculation with GGA-PBE was carried out for an optimized crystal structure of LaSm6Zn.

The structure in POSCAR format:
```
LaSm6Zn
1.0
-2.232 -1.634 8.107
2.955 -7.552 2.721
3.450 -1.645 5.145
Sm La Zn
6 1 1
Cartesian
3.401 -7.885 10.382
1.067 -2.860 10.274
3.106 -7.971 5.700
2.079 -6.164 13.292
0.772 -2.946 5.591
2.094 -4.667 2.681
2.087 -5.416 7.987
0.000 0.000 0.000
```

Output
**Symmetry**: P-1 (2)
**Calculated formation energy**: 32 meV/atom
**Total moment**: 0.00 Bohr magnetons per cell
**DFT total energy**: -4.28 eV per atom

---

A plane-wave DFT calculation with GGA-PBE was carried out for an optimized crystal structure of SrAl3Tc.

The structure in POSCAR format:
```
SrAl3Tc
1.0
0.000 6.672 6.672
6.672 0.000 6.672
6.672 6.672 0.000
Tc Al Sr
4 12 4
Cartesian
8.340 8.340 8.340
5.004 8.340 5.004
5.004 5.004 8.340
8.340 5.004 5.004
10.008 10.008 7.882
6.672 6.672 8.798
6.672 8.798 6.672
7.882 10.008 10.008
4.546 6.672 6.672
12.134 10.008 10.008
10.008 7.882 10.008
10.008 10.008 12.134
6.672 6.672 4.546
6.672 4.546 6.672
10.008 12.134 10.008
8.798 6.672 6.672
5.004 5.004 1.668
1.668 1.668 1.668
1.668 5.004 5.004
5.004 1.668 5.004
```

Output
**Symmetry**: Fd-3m (227)
**Calculated formation energy**: 121 meV/atom
**Total moment**: 1.99 Bohr magnetons per cell
**DFT total energy**: -4.53 eV per atom

---

A plane-wave DFT calculation with GGA-PBE was carried out for an optimized crystal structure of GeMoHRh2.

The structure in POSCAR format:
```
GeMoHRh2
1.0
-2.651 -2.671 0.882
1.655 -0.502 3.457
-2.425 2.931 1.587
Ge Rh Mo H
1 2 1 1
Cartesian
-1.711 -0.121 2.962
0.828 -0.251 1.728
-1.325 -1.336 0.441
-1.213 1.465 0.793
0.000 0.000 0.000
```

Output
**Symmetry**: P4/mmm (123)
**Total moment**: 0.00 Bohr magnetons per cell
**DFT total energy**: -6.77 eV per atom

---

A plane-wave DFT calculation with GGA-PBE was carried out for an optimized crystal structure of Na4PS5.

The structure in POSCAR format:
```
Na4PS5
1.0
-5.821 0.390 0.107
-3.129 -4.265 4.448
-2.535 4.575 4.517
Na S P
4 5 1
Cartesian
-8.705 -0.432 6.484
-5.619 2.241 5.515
-2.822 1.135 2.588
-5.908 -1.538 3.558
-5.712 -0.241 6.883
-2.534 0.170 0.046
-5.719 0.938 2.188
-8.459 2.886 5.176
-2.973 -2.189 3.894
-0.464 0.031 0.008
```

Output
**Symmetry**: I4 (79)
**Total moment**: 1.02 Bohr magnetons per cell
**DFT total energy**: -3.79 eV per atom
**Formation energy (no corrections)**: -0.658 eV per atom

---

A plane-wave DFT calculation with GGA-PBE was carried out for an optimized crystal structure of MgNiSnSe.

The structure in POSCAR format:
```
MgNiSnSe
1.0
3.700 -0.010 -0.004
-1.851 4.197 0.013
-0.007 -1.289 5.301
Mg Ni Sn Se
1 1 1 1
Cartesian
1.314 0.373 3.859
1.315 1.497 1.219
1.308 4.009 0.620
-0.531 2.066 2.802
```

Output
**Symmetry**: P1 (1)
**Total moment**: 0.00 Bohr magnetons per cell
**DFT total energy**: -4.09 eV per atom
**Formation energy (no corrections)**: -0.369 eV per atom